A plane-wave DFT calculation with PBE was carried out for a relaxed structure of LiPuGe.

Properties
Energy of formation ... -0.137 eV/atom
D(E_F) ... 58.0 states/eV/cell

a b c (Å): 6.6712 6.6712 6.6712
angles (deg): 90.00 90.00 90.00
Space group F-43m (No. 216)
Unique sites:
Li 0.0000 0.0000 0.0000 [4 per cell]
Pu 0.0000 0.0000 0.5000 [4 per cell]
Ge 0.2500 0.2500 0.2500 [4 per cell]